Sm4HoAg5: relaxed, PBE-GGA.

a b c (Å): 3.6615 3.6615 18.7827
angles (deg): 90.00 90.00 90.00
With the nearest neighbours (Å) after each atom.
Space group P4/mmm (No. 123)
Symmetry-distinct sites (fractional):
Sm: 0.0000 0.0000 0.1008 (multiplicity 2)  8 Ag 3.21
Sm: 0.0000 0.0000 0.3031 (multiplicity 2)  8 Ag 3.21-3.24
Ho: 0.0000 0.0000 0.5000 (multiplicity 1)  8 Ag 3.13
Ag: 0.5000 0.5000 0.0000 (multiplicity 1)  8 Sm 3.21
Ag: 0.5000 0.5000 0.2018 (multiplicity 2)  8 Sm 3.21
Ag: 0.5000 0.5000 0.4065 (multiplicity 2)  4 Ho 3.13, 4 Sm 3.24

Calculated values
Formation enthalpy at 0 K: -0.291 eV per atom
Crystal system: tetragonal